Entry 1:
The following is a DFT calculation (PBE) of a geometry-optimized AcLa2PrDy5 structure.

Properties
The space group is I4/mcm, No. 140. Its energy of formation from the pure elements is 233 meV per atom. As for the electronic total energy: -4.41 eV per atom. The calculation puts the density of states at the Fermi level at 21.3 states/eV per cell.

```
AcLa2PrDy5
1.0
-4.412 4.412 8.028
4.412 -4.412 8.028
4.412 4.412 -8.028
Ac La Pr Dy
2 4 2 10
Cartesian
0.000 0.000 4.014 Ac
0.000 0.000 12.042 Ac
5.451 1.038 0.000 La
1.038 3.374 0.000 La
3.374 1.038 8.028 La
-1.038 3.374 8.028 La
4.412 0.000 4.014 Pr
0.000 4.412 4.014 Pr
0.000 0.000 0.000 Dy
2.557 1.855 -2.171 Dy
2.557 -1.855 5.857 Dy
2.557 1.855 2.171 Dy
2.557 -1.855 10.199 Dy
0.000 0.000 8.028 Dy
1.855 6.267 -2.171 Dy
1.855 2.557 5.857 Dy
1.855 6.267 2.171 Dy
1.855 2.557 10.199 Dy
```

Entry 2:
The following is a DFT calculation (PBE) of a geometry-optimized HoEr4Th structure.

Properties
The space group is C2/m, No. 12. Its energy of formation from the pure elements is 24 meV per atom. As for the electronic total energy: -5.02 eV per atom. As for the relative energy among the computed polymorphs: 0 meV per atom. The calculation puts the density of states at the Fermi level at 8.1 states/eV per cell.

```
HoEr4Th
1.0
5.834 -1.763 0.000
5.834 1.763 0.000
-4.267 0.000 9.027
Ho Er Th
1 4 1
Cartesian
0.000 0.000 0.000 Ho
3.169 0.000 1.527 Er
1.061 0.000 5.990 Er
6.339 0.000 3.037 Er
4.231 0.000 7.500 Er
-2.134 0.000 4.513 Th
```

Entry 3:
The following is a DFT calculation (PBE) of a geometry-optimized LiSi2Pt structure.

Properties
The space group is C2/m, No. 12. As for the electronic total energy: -4.90 eV per atom. As for the formation energy without anion corrections: -19 kJ per mole of atoms. As for the relative energy among the computed polymorphs: 292 meV per atom. The calculation puts the density of states at the Fermi level at 1.1 states/eV per cell.

```
LiSi2Pt
1.0
2.674 -4.366 0.000
2.674 4.366 0.000
-1.453 0.000 2.419
Li Si Pt
1 2 1
Cartesian
0.000 0.000 0.000 Li
1.337 2.183 0.000 Si
1.337 -2.183 0.000 Si
2.674 0.000 0.000 Pt
```

Entry 4:
The following is a DFT calculation (PBE) of a geometry-optimized W2SeBr structure.

Properties
The space group is R3m, No. 160. As for the electronic total energy: -7.59 eV per atom. As for the formation energy without anion corrections: 17 kJ per mole of atoms. As for the relative energy among the computed polymorphs: 33 meV per atom. The calculation puts the density of states at the Fermi level at 2.5 states/eV per cell.

```
W2SeBr
1.0
1.546 0.893 9.966
-1.546 0.893 9.966
0.000 -1.785 9.966
W Se Br
2 1 1
Cartesian
0.000 0.000 0.000 W
0.000 0.000 7.642 W
0.000 0.000 21.703 Se
0.000 0.000 15.674 Br
```

Entry 5:
The following is a DFT calculation (PBE) of a geometry-optimized CsGeAuBr2 structure.

Properties
The space group is P4/mmm, No. 123. As for the electronic total energy: -3.19 eV per atom. As for the formation energy without anion corrections: -75 kJ per mole of atoms. The calculation puts the density of states at the Fermi level at 0.3 states/eV per cell.

```
CsGeAuBr2
1.0
5.790 0.000 0.000
0.000 5.790 0.000
0.000 0.000 4.938
Cs Ge Au Br
1 1 1 2
Cartesian
0.000 0.000 0.000 Cs
2.895 2.895 2.469 Ge
2.895 2.895 0.000 Au
0.000 2.895 2.469 Br
2.895 0.000 2.469 Br
```

Entry 6:
The following is a DFT calculation (PBE) of a geometry-optimized NaN2Cl structure.

Properties
The space group is R-3m, No. 166. As for the electronic total energy: -3.01 eV per atom. As for the formation energy without anion corrections: 188 kJ per mole of atoms. As for the relative energy among the computed polymorphs: 2782 meV per atom. The calculation puts the density of states at the Fermi level at 1.5 states/eV per cell.

```
NaN2Cl
1.0
1.558 0.899 6.679
-1.558 0.899 6.679
0.000 -1.799 6.679
Na N Cl
1 2 1
Cartesian
0.000 0.000 0.000 Na
0.000 0.000 2.236 N
0.000 0.000 17.801 N
0.000 0.000 10.018 Cl
```

Entry 7:
The following is a DFT calculation (PBE) of a geometry-optimized RbHf3Ge structure.

Properties
The space group is Pm-3m, No. 221. Its energy of formation from the pure elements is 911 meV per atom. As for the electronic total energy: -6.18 eV per atom. As for the relative energy among the computed polymorphs: 0 meV per atom. The calculation puts the density of states at the Fermi level at 11.6 states/eV per cell.

```
RbHf3Ge
1.0
5.220 0.000 0.000
0.000 5.220 0.000
0.000 0.000 5.220
Rb Hf Ge
1 3 1
Cartesian
0.000 0.000 0.000 Rb
0.000 2.610 2.610 Hf
2.610 0.000 2.610 Hf
2.610 2.610 0.000 Hf
2.610 2.610 2.610 Ge
```

Entry 8:
The following is a DFT calculation (PBE) of a geometry-optimized AcTm2Tl3Te6 structure.

Properties
The space group is C2/m, No. 12. As for the electronic total energy: -4.31 eV per atom. As for the formation energy without anion corrections: -102 kJ per mole of atoms.

```
AcTm2Tl3Te6
1.0
3.943 -6.816 0.000
3.943 6.816 0.000
-2.631 0.000 8.174
Ac Tm Tl Te
1 2 3 6
Cartesian
0.000 0.000 0.000 Ac
3.943 2.282 0.000 Tm
3.943 -2.282 0.000 Tm
2.627 4.630 4.087 Tl
2.627 0.000 4.087 Tl
2.627 -4.630 4.087 Tl
1.403 2.421 1.778 Te
0.172 0.000 6.441 Te
1.403 -2.421 1.778 Te
3.852 2.421 6.396 Te
5.082 0.000 1.733 Te
3.852 -2.421 6.396 Te
```

Entry 9:
The following is a DFT calculation (PBE) of a geometry-optimized BeTeRu2 structure.

Properties
The space group is F-43m, No. 216. As for the electronic total energy: -5.82 eV per atom. As for the formation energy without anion corrections: 52 kJ per mole of atoms. As for the relative energy among the computed polymorphs: 506 meV per atom. The calculation puts the density of states at the Fermi level at 3.4 states/eV per cell.

```
BeTeRu2
1.0
0.000 3.122 3.122
3.122 0.000 3.122
3.122 3.122 0.000
Be Te Ru
1 1 2
Cartesian
0.000 0.000 0.000 Be
1.561 1.561 1.561 Te
3.122 3.122 3.122 Ru
4.683 4.683 4.683 Ru
```

Number 1: V 625 Å³ per cell. Number 2: V 186 Å³ per cell. Number 3: V 56 Å³ per cell. Number 4: V 83 Å³ per cell. Number 5: V 166 Å³ per cell. Number 6: V 56 Å³ per cell. Number 7: V 142 Å³ per cell. Number 8: V 439 Å³ per cell. Number 9: V 61 Å³ per cell.